1.
MgAl2AsC | PBE-GGA | optimized geometry Values from VASP.

M_tot: 0.000 μB/atom
space group: P4/mmm
calculated formation energy: 0.21 eV/f.u.

The structure in Quantum ESPRESSO input format:
```
&SYSTEM
  ibrav = 0, nat = 5, ntyp = 4
/
ATOMIC_SPECIES
Mg 24.30 Mg.upf
Al 26.98 Al.upf
As 74.92 As.upf
C 12.01 C.upf
CELL_PARAMETERS angstrom
4.1234 0.0000 0.0000
0.0000 4.1234 0.0000
0.0000 0.0000 4.3958
ATOMIC_POSITIONS angstrom
Mg 0.0000 0.0000 0.0000
Al 0.0000 2.0617 2.1979
Al 2.0617 0.0000 2.1979
As 2.0617 2.0617 0.0000
C 0.0000 0.0000 2.1979
```



2.
AlAs2CO | PBE-GGA | optimized geometry Values from VASP.

ΔE_f (raw): 0.8159 eV/atom
M_tot: 0.000 μB/atom
space group: P4/mmm

The structure in Quantum ESPRESSO input format:
```
&SYSTEM
  ibrav = 0, nat = 5, ntyp = 4
/
ATOMIC_SPECIES
Al 26.98 Al.upf
As 74.92 As.upf
C 12.01 C.upf
O 16.00 O.upf
CELL_PARAMETERS angstrom
4.5564 0.0000 0.0000
0.0000 4.5564 0.0000
0.0000 0.0000 3.2916
ATOMIC_POSITIONS angstrom
Al 0.0000 0.0000 0.0000
As 0.0000 2.2782 1.6458
As 2.2782 0.0000 1.6458
C 2.2782 2.2782 1.6458
O 2.2782 2.2782 0.0000
```



3.
Al2AsOsC | PBE-GGA | optimized geometry Values from VASP.

M_tot: 0.000 μB/atom
space group: P4/mmm
calculated formation energy: 8.91 eV/f.u.

The structure in Quantum ESPRESSO input format:
```
&SYSTEM
  ibrav = 0, nat = 5, ntyp = 4
/
ATOMIC_SPECIES
Al 26.98 Al.upf
As 74.92 As.upf
Os 190.23 Os.upf
C 12.01 C.upf
CELL_PARAMETERS angstrom
4.8046 0.0000 0.0000
0.0000 4.8046 0.0000
0.0000 0.0000 3.6839
ATOMIC_POSITIONS angstrom
Al 0.0000 2.4023 0.0000
Al 2.4023 0.0000 0.0000
As 0.0000 0.0000 0.0000
Os 2.4023 2.4023 1.8420
C 0.0000 0.0000 1.8420
```



4.
Rb2AlAsC | PBE-GGA | optimized geometry Values from VASP.

M_tot: 0.572 μB/atom
space group: P4/mmm
calculated formation energy: 5.83 eV/f.u.

The structure in Quantum ESPRESSO input format:
```
&SYSTEM
  ibrav = 0, nat = 5, ntyp = 4
/
ATOMIC_SPECIES
Rb 85.47 Rb.upf
Al 26.98 Al.upf
As 74.92 As.upf
C 12.01 C.upf
CELL_PARAMETERS angstrom
6.9208 0.0000 0.0000
0.0000 6.9208 0.0000
0.0000 0.0000 4.7609
ATOMIC_POSITIONS angstrom
Rb 0.0000 3.4604 0.0000
Rb 3.4604 0.0000 0.0000
Al 0.0000 0.0000 0.0000
As 0.0000 0.0000 2.3805
C 3.4604 3.4604 2.3805
```



5.
Al2AsRhC | PBE-GGA | optimized geometry Values from VASP.

M_tot: 0.216 μB/atom
space group: P4/mmm
calculated formation energy: 8.73 eV/f.u.

The structure in Quantum ESPRESSO input format:
```
&SYSTEM
  ibrav = 0, nat = 5, ntyp = 4
/
ATOMIC_SPECIES
Al 26.98 Al.upf
As 74.92 As.upf
Rh 102.91 Rh.upf
C 12.01 C.upf
CELL_PARAMETERS angstrom
4.8073 0.0000 0.0000
0.0000 4.8073 0.0000
0.0000 0.0000 4.5484
ATOMIC_POSITIONS angstrom
Al 0.0000 2.4037 0.0000
Al 2.4037 0.0000 0.0000
As 0.0000 0.0000 0.0000
Rh 0.0000 0.0000 2.2742
C 2.4037 2.4037 2.2742
```



6.
AlAsCSe2 | PBE-GGA | optimized geometry Values from VASP.

ΔE_f (raw): 1.5986 eV/atom
polymorph energy (0 for the lowest one): 58.5 kJ per mole of atoms
M_tot: 0.159 μB/atom
space group: P4/mmm

The structure in Quantum ESPRESSO input format:
```
&SYSTEM
  ibrav = 0, nat = 5, ntyp = 4
/
ATOMIC_SPECIES
Al 26.98 Al.upf
As 74.92 As.upf
C 12.01 C.upf
Se 78.96 Se.upf
CELL_PARAMETERS angstrom
4.8281 0.0000 0.0000
0.0000 4.8281 0.0000
0.0000 0.0000 4.8645
ATOMIC_POSITIONS angstrom
Al 0.0000 0.0000 0.0000
As 0.0000 0.0000 2.4322
C 2.4140 2.4140 2.4322
Se 0.0000 2.4140 0.0000
Se 2.4140 0.0000 0.0000
```